No. 1
Entry from the Alexandria database: crystalline LiCo2B2 at its relaxed geometry (PBE).

The space group is P4/mbm (No. 127) and the conventional cell measures 5.715, 5.715 and 2.504 Å, with angles of 90.00, 90.00 and 90.00 degrees. The inequivalent atoms are Li at (0.000, 0.000, 0.000), Co at (0.169, 0.331, 0.500) and B at (0.120, 0.620, 0.000).

As for the total energy: -6.153 eV per atom. The value obtained for the offset from the most stable computed form is 0 meV/atom. The energy of formation from the pure elements is -24.8 kJ/mol of atoms. The value obtained for the total moment is 0.00 μB/f.u. The crystal system is tetragonal.

=====

No. 2
Entry from the Alexandria database: crystalline LiCoB2 at its relaxed geometry (PBE).

The space group is I4_1/amd (No. 141, origin choice 2) and the conventional cell measures 3.363, 3.363 and 14.511 Å, with angles of 90.00, 90.00 and 90.00 degrees. The inequivalent atoms are Li at (0.000, 0.250, 0.375), Co at (0.000, 0.250, 0.875) and B at (0.000, 0.000, 0.000).

As for the total energy: -5.358 eV per atom. The value obtained for the offset from the most stable computed form is 254 meV/atom. The energy of formation from the pure elements is 22.7 kJ/mol of atoms. The value obtained for the total moment is 1.11 μB/f.u. The crystal system is tetragonal.

=====

No. 3
Entry from the Alexandria database: crystalline LiCo4B4 at its relaxed geometry (PBE).

The space group is P4_2/n (No. 86, origin choice 2) and the conventional cell measures 6.682, 6.682 and 3.862 Å, with angles of 90.00, 90.00 and 90.00 degrees. The inequivalent atoms are Li at (0.250, 0.250, 0.250), Co at (0.120, 0.622, 0.135) and B at (0.071, 0.927, 0.140).

As for the total energy: -6.661 eV per atom. The energy of formation from the pure elements is -31.2 kJ/mol of atoms. The value obtained for the total moment is 0.00 μB/f.u. The crystal system is tetragonal.

=====

No. 4
Entry from the Alexandria database: crystalline LiCo2B2 at its relaxed geometry (PBE).

The space group is I4/mmm (No. 139) and the conventional cell measures 2.787, 2.787 and 11.565 Å, with angles of 90.00, 90.00 and 90.00 degrees. The inequivalent atoms are Li at (0.000, 0.000, 0.000), Co at (0.000, 0.000, 0.376) and B at (0.000, 0.500, 0.250).

As for the total energy: -5.813 eV per atom. The value obtained for the offset from the most stable computed form is 341 meV/atom. The energy of formation from the pure elements is 8.0 kJ/mol of atoms. The value obtained for the total moment is 0.00 μB/f.u. The crystal system is tetragonal.

=====

No. 5
Entry from the Alexandria database: crystalline LiCo2B at its relaxed geometry (PBE).

The space group is Cm (No. 8) and the conventional cell measures 4.369, 2.538 and 7.301 Å, with angles of 90.00, 101.14 and 90.00 degrees. The inequivalent atoms are Li at (0.000, 0.000, 0.000), Co at (0.065, 0.500, 0.696), Co at (0.438, 0.000, 0.304) and B at (0.336, 0.500, 0.500).

As for the total energy: -5.669 eV per atom. The energy of formation from the pure elements is 3.1 kJ/mol of atoms. The value obtained for the total moment is 0.01 μB/f.u. The crystal system is monoclinic.

=====

No. 6
Entry from the Alexandria database: crystalline LiCo2B at its relaxed geometry (PBE).

The space group is P-3m1 (No. 164) and the conventional cell measures 2.5812, 2.5812 and 6.9630 Å, with angles of 90.00, 90.00 and 120.00 degrees. The inequivalent atoms are Li at (0.0000, 0.0000, 0.0000), Co at (0.3333, 0.6667, 0.3095) and B at (0.0000, 0.0000, 0.5000).

As for the total energy: -5.668 eV per atom. The energy of formation from the pure elements is 3.1 kJ/mol of atoms. The value obtained for the total moment is 0.00 μB/f.u. The crystal system is trigonal.